[1]
DFT (GGA-PBE) results for crystalline Bi2PdO6 at its relaxed geometry.

Lattice parameters (Å, degrees): 5.027 5.027 10.103 90.00 90.00 90.00
Positions (direct):
Bi1 0.000 0.000 0.166
Bi2 0.000 0.000 0.834
Bi3 0.500 0.500 0.334
Bi4 0.500 0.500 0.666
Pd1 0.000 0.000 0.500
Pd2 0.500 0.500 0.000
O1 0.185 0.185 0.344
O2 0.185 0.185 0.656
O3 0.209 0.209 0.000
O4 0.291 0.709 0.500
O5 0.315 0.685 0.156
O6 0.315 0.685 0.844
O7 0.685 0.315 0.156
O8 0.685 0.315 0.844
O9 0.709 0.291 0.500
O10 0.791 0.791 0.000
O11 0.815 0.815 0.344
O12 0.815 0.815 0.656

Calculated values
- Space-group type: P4_2/mnm
- E_form (uncorrected): -0.7392 eV/atom
- Excess energy over the best structure of this formula in the dataset: 0.0 meV per atom
- Calculated total energy: -5.48 eV/atom
- Crystal system: tetragonal
- Magnetic moment: 0.000 μB per atom

***

[2]
DFT (GGA-PBE) results for crystalline BeMo2Cl at its relaxed geometry.

Lattice parameters (Å, degrees): 8.254 2.851 5.027 90.00 102.43 90.00
Positions (direct):
Be1 0.000 0.000 0.000
Be2 0.500 0.500 0.000
Mo1 0.247 0.500 0.225
Mo2 0.253 0.000 0.775
Mo3 0.747 0.000 0.225
Mo4 0.753 0.500 0.775
Cl1 0.000 0.500 0.500
Cl2 0.500 0.000 0.500

Calculated values
- Space-group type: C2/m
- E_form (uncorrected): 0.5979 eV/atom
- Excess energy over the best structure of this formula in the dataset: 378.3 meV per atom
- Calculated total energy: -6.21 eV/atom
- Crystal system: monoclinic
- Magnetic moment: 0.000 μB per atom

***

[3]
DFT (GGA-PBE) results for crystalline PrSmAs at its relaxed geometry.

Lattice parameters (Å, degrees): 4.099 4.099 6.742 90.00 90.00 120.00
Positions (direct):
Pr1 0.000 0.000 0.000
Sm1 0.667 0.333 0.486
As1 0.333 0.667 0.735

Calculated values
- Space-group type: P3m1
- ΔH_f (0 K): -0.85 eV/atom
- Calculated total energy: -5.57 eV/atom
- Crystal system: trigonal
- Magnetic moment: 0.383 μB per atom

***

[4]
DFT (GGA-PBE) results for crystalline Nd6DyTh at its relaxed geometry.

Lattice parameters (Å, degrees): 6.088 6.088 14.857 90.00 90.00 90.00
Positions (direct):
Nd1 0.000 0.000 0.243
Nd2 0.000 0.000 0.757
Nd3 0.000 0.500 0.121
Nd4 0.000 0.500 0.379
Nd5 0.000 0.500 0.621
Nd6 0.000 0.500 0.879
Nd7 0.500 0.000 0.121
Nd8 0.500 0.000 0.379
Nd9 0.500 0.000 0.621
Nd10 0.500 0.000 0.879
Nd11 0.500 0.500 0.257
Nd12 0.500 0.500 0.743
Dy1 0.000 0.000 0.500
Dy2 0.500 0.500 0.000
Th1 0.000 0.000 0.000
Th2 0.500 0.500 0.500

Calculated values
- Space-group type: I4/mmm
- Excess energy over the best structure of this formula in the dataset: 89.7 meV per atom
- ΔH_f (0 K): 0.13 eV/atom
- Calculated total energy: -4.95 eV/atom
- Crystal system: tetragonal
- Magnetic moment: 0.000 μB per atom

***

[5]
DFT (GGA-PBE) results for crystalline Ho5In2Ga2 at its relaxed geometry.

Lattice parameters (Å, degrees): 8.907 8.907 7.644 90.00 90.00 51.64
Positions (direct):
Ho1 0.000 0.000 0.000
Ho2 0.058 0.684 0.680
Ho3 0.184 0.558 0.180
Ho4 0.316 0.942 0.680
Ho5 0.442 0.816 0.180
Ho6 0.500 0.500 0.500
Ho7 0.558 0.184 0.820
Ho8 0.684 0.058 0.320
Ho9 0.816 0.442 0.820
Ho10 0.942 0.316 0.320
In1 0.221 0.221 0.000
In2 0.279 0.279 0.500
In3 0.721 0.721 0.500
In4 0.779 0.779 0.000
Ga1 0.118 0.882 0.381
Ga2 0.382 0.618 0.881
Ga3 0.618 0.382 0.119
Ga4 0.882 0.118 0.619

Calculated values
- Space-group type: Cmce
- ΔH_f (0 K): -0.47 eV/atom
- Calculated total energy: -4.29 eV/atom
- Crystal system: orthorhombic
- Magnetic moment: 0.000 μB per atom

***

[6]
DFT (GGA-PBE) results for crystalline Cs2Ag3Br5 at its relaxed geometry.

Lattice parameters (Å, degrees): 11.138 11.138 11.138 127.04 69.05 139.05
Positions (direct):
Cs1 0.159 0.203 0.362
Cs2 0.341 0.703 0.044
Cs3 0.659 0.297 0.956
Cs4 0.841 0.797 0.638
Ag1 0.104 0.581 0.686
Ag2 0.250 0.250 0.000
Ag3 0.396 0.081 0.477
Ag4 0.604 0.919 0.523
Ag5 0.750 0.750 0.000
Ag6 0.896 0.419 0.314
Br1 0.042 0.750 0.292
Br2 0.075 0.862 0.938
Br3 0.250 0.750 0.500
Br4 0.425 0.362 0.787
Br5 0.458 0.750 0.708
Br6 0.542 0.250 0.292
Br7 0.575 0.638 0.213
Br8 0.750 0.250 0.500
Br9 0.925 0.138 0.062
Br10 0.958 0.250 0.708

Calculated values
- Space-group type: Ibam
- E_form (uncorrected): -0.9018 eV/atom
- Calculated total energy: -2.76 eV/atom
- Crystal system: orthorhombic
- Magnetic moment: 0.000 μB per atom

***

[7]
DFT (GGA-PBE) results for crystalline ReTcSb2 at its relaxed geometry.

Lattice parameters (Å, degrees): 8.509 3.174 5.535 90.00 102.86 90.00
Positions (direct):
Re1 0.000 0.000 0.000
Re2 0.500 0.500 0.000
Tc1 0.000 0.500 0.500
Tc2 0.500 0.000 0.500
Sb1 0.250 0.000 0.750
Sb2 0.250 0.500 0.250
Sb3 0.750 0.000 0.250
Sb4 0.750 0.500 0.750

Calculated values
- Space-group type: C2/m
- E_form (uncorrected): 0.4878 eV/atom
- Excess energy over the best structure of this formula in the dataset: 347.7 meV per atom
- Calculated total energy: -7.28 eV/atom
- Crystal system: monoclinic
- Magnetic moment: 0.000 μB per atom

***

[8]
DFT (GGA-PBE) results for crystalline RbPuNpSe4 at its relaxed geometry.

Lattice parameters (Å, degrees): 8.931 8.931 8.931 121.21 119.97 88.99
Positions (direct):
Rb1 0.377 0.127 0.250
Rb2 0.623 0.873 0.750
Pu1 0.000 0.500 0.500
Pu2 0.500 0.500 0.000
Np1 0.000 0.000 0.500
Np2 0.000 0.500 0.000
Se1 0.185 0.730 0.455
Se2 0.224 0.264 0.540
Se3 0.224 0.685 0.960
Se4 0.226 0.270 0.955
Se5 0.774 0.730 0.045
Se6 0.776 0.315 0.040
Se7 0.776 0.736 0.460
Se8 0.815 0.270 0.545

Calculated values
- Space-group type: Imma
- E_form (uncorrected): -1.1984 eV/atom
- Calculated total energy: -7.22 eV/atom
- Crystal system: orthorhombic
- Magnetic moment: 0.224 μB per atom

***

[9]
DFT (GGA-PBE) results for crystalline BeB3Pb at its relaxed geometry.

Lattice parameters (Å, degrees): 4.640 4.640 4.640 90.00 90.00 90.00
Positions (direct):
Be1 0.000 0.000 0.000
B1 0.000 0.500 0.500
B2 0.500 0.000 0.500
B3 0.500 0.500 0.000
Pb1 0.500 0.500 0.500

Calculated values
- Space-group type: Pm-3m
- Excess energy over the best structure of this formula in the dataset: 1282.6 meV per atom
- ΔH_f (0 K): 2.90 eV/atom
- Calculated total energy: -2.59 eV/atom
- Crystal system: cubic
- Magnetic moment: 0.000 μB per atom

***

[10]
DFT (GGA-PBE) results for crystalline ZnCd2Os at its relaxed geometry.

Lattice parameters (Å, degrees): 4.037 4.037 4.173 90.00 90.00 90.00
Positions (direct):
Zn1 0.000 0.000 0.000
Cd1 0.000 0.500 0.500
Cd2 0.500 0.000 0.500
Os1 0.500 0.500 0.000

Calculated values
- Space-group type: P4/mmm
- ΔH_f (0 K): 0.40 eV/atom
- Calculated total energy: -3.18 eV/atom
- Crystal system: tetragonal
- Magnetic moment: 0.000 μB per atom

***

[11]
DFT (GGA-PBE) results for crystalline Li4AcMg2In at its relaxed geometry.

Lattice parameters (Å, degrees): 10.092 10.092 10.092 27.32 27.32 27.32
Positions (direct):
Li1 0.094 0.094 0.094
Li2 0.366 0.366 0.366
Li3 0.634 0.634 0.634
Li4 0.906 0.906 0.906
Ac1 0.500 0.500 0.500
Mg1 0.263 0.263 0.263
Mg2 0.737 0.737 0.737
In1 0.000 0.000 0.000

Calculated values
- Space-group type: R-3m
- ΔH_f (0 K): -0.05 eV/atom
- Calculated total energy: -2.27 eV/atom
- Crystal system: trigonal
- Magnetic moment: 0.159 μB per atom

***

[12]
DFT (GGA-PBE) results for crystalline AlTlCu2 at its relaxed geometry.

Lattice parameters (Å, degrees): 8.361 3.005 5.841 90.00 103.93 90.00
Positions (direct):
Al1 0.000 0.000 0.000
Al2 0.500 0.500 0.000
Tl1 0.000 0.500 0.500
Tl2 0.500 0.000 0.500
Cu1 0.241 0.500 0.175
Cu2 0.259 0.000 0.825
Cu3 0.741 0.000 0.175
Cu4 0.759 0.500 0.825

Calculated values
- Space-group type: C2/m
- Excess energy over the best structure of this formula in the dataset: 68.5 meV per atom
- ΔH_f (0 K): 0.17 eV/atom
- Calculated total energy: -3.40 eV/atom
- Crystal system: monoclinic
- Magnetic moment: 0.000 μB per atom

***

[13]
DFT (GGA-PBE) results for crystalline Sc4Ag2Pd3 at its relaxed geometry.

Lattice parameters (Å, degrees): 4.929 4.929 8.597 97.68 97.68 54.24
Positions (direct):
Sc1 0.042 0.042 0.340
Sc2 0.350 0.350 0.110
Sc3 0.650 0.650 0.890
Sc4 0.958 0.958 0.660
Ag1 0.298 0.298 0.765
Ag2 0.702 0.702 0.235
Pd1 0.000 0.000 0.000
Pd2 0.347 0.347 0.434
Pd3 0.653 0.653 0.566

Calculated values
- Space-group type: C2/m
- ΔH_f (0 K): -0.57 eV/atom
- Calculated total energy: -5.75 eV/atom
- Crystal system: monoclinic
- Magnetic moment: 0.000 μB per atom

***

[14]
DFT (GGA-PBE) results for crystalline Pa2CuNiS5 at its relaxed geometry.

Lattice parameters (Å, degrees): 8.212 8.212 10.987 90.00 90.00 153.20
Positions (direct):
Pa1 0.120 0.880 0.500
Pa2 0.126 0.874 0.112
Pa3 0.874 0.126 0.612
Pa4 0.880 0.120 0.000
Cu1 0.423 0.577 0.284
Cu2 0.577 0.423 0.784
Ni1 0.243 0.757 0.899
Ni2 0.757 0.243 0.399
S1 0.037 0.963 0.887
S2 0.295 0.705 0.471
S3 0.308 0.692 0.156
S4 0.362 0.638 0.809
S5 0.498 0.502 0.102
S6 0.502 0.498 0.602
S7 0.638 0.362 0.309
S8 0.692 0.308 0.656
S9 0.705 0.295 0.971
S10 0.963 0.037 0.387

Calculated values
- Space-group type: Cmc2_1
- E_form (uncorrected): -1.1217 eV/atom
- Calculated total energy: -6.62 eV/atom
- Crystal system: orthorhombic
- Magnetic moment: 0.068 μB per atom

***

[15]
DFT (GGA-PBE) results for crystalline RbBeTe2 at its relaxed geometry.

Lattice parameters (Å, degrees): 3.827 3.827 29.749 90.00 90.00 120.00
Positions (direct):
Rb1 0.000 0.000 0.000
Rb2 0.333 0.667 0.667
Rb3 0.667 0.333 0.333
Be1 0.000 0.000 0.500
Be2 0.333 0.667 0.167
Be3 0.667 0.333 0.833
Te1 0.000 0.000 0.116
Te2 0.000 0.000 0.884
Te3 0.333 0.667 0.551
Te4 0.333 0.667 0.783
Te5 0.667 0.333 0.217
Te6 0.667 0.333 0.449

Calculated values
- Space-group type: R-3m
- E_form (uncorrected): -0.0381 eV/atom
- Calculated total energy: -2.78 eV/atom
- Crystal system: trigonal
- Magnetic moment: 0.000 μB per atom

***

[16]
DFT (GGA-PBE) results for crystalline GaPdSeN2 at its relaxed geometry.

Lattice parameters (Å, degrees): 3.822 3.822 5.598 90.00 90.00 90.00
Positions (direct):
Ga1 0.000 0.000 0.000
Pd1 0.500 0.500 0.500
Se1 0.000 0.000 0.500
N1 0.000 0.500 0.000
N2 0.500 0.000 0.000

Calculated values
- Space-group type: P4/mmm
- E_form (uncorrected): 1.2144 eV/atom
- Excess energy over the best structure of this formula in the dataset: 0.0 meV per atom
- Calculated total energy: -4.46 eV/atom
- Crystal system: tetragonal
- Magnetic moment: 0.714 μB per atom

***

[17]
DFT (GGA-PBE) results for crystalline Ba2GaRhAu at its relaxed geometry.

Lattice parameters (Å, degrees): 4.601 4.601 15.137 90.00 90.00 90.00
Positions (direct):
Ba1 0.250 0.250 0.106
Ba2 0.250 0.250 0.664
Ba3 0.750 0.750 0.336
Ba4 0.750 0.750 0.894
Ga1 0.250 0.250 0.427
Ga2 0.750 0.750 0.573
Rh1 0.250 0.750 0.500
Rh2 0.750 0.250 0.500
Au1 0.250 0.250 0.887
Au2 0.750 0.750 0.113

Calculated values
- Space-group type: P4/nmm
- Excess energy over the best structure of this formula in the dataset: 0.0 meV per atom
- ΔH_f (0 K): -0.61 eV/atom
- Calculated total energy: -4.11 eV/atom
- Crystal system: tetragonal
- Magnetic moment: 0.000 μB per atom

***

[18]
DFT (GGA-PBE) results for crystalline MnCuIr at its relaxed geometry.

Lattice parameters (Å, degrees): 4.644 4.791 6.928 90.00 90.00 90.00
Positions (direct):
Mn1 0.000 0.000 0.000
Mn2 0.000 0.500 0.000
Mn3 0.500 0.000 0.500
Mn4 0.500 0.500 0.500
Cu1 0.250 0.250 0.250
Cu2 0.250 0.750 0.750
Cu3 0.750 0.250 0.250
Cu4 0.750 0.750 0.750
Ir1 0.000 0.250 0.622
Ir2 0.000 0.750 0.378
Ir3 0.500 0.250 0.878
Ir4 0.500 0.750 0.122

Calculated values
- Space-group type: Imma
- Excess energy over the best structure of this formula in the dataset: 217.0 meV per atom
- ΔH_f (0 K): 0.22 eV/atom
- Calculated total energy: -7.15 eV/atom
- Crystal system: orthorhombic
- Magnetic moment: 0.897 μB per atom

***

[19]
DFT (GGA-PBE) results for crystalline Er2MgZr at its relaxed geometry.

Lattice parameters (Å, degrees): 4.731 4.731 4.669 90.00 90.00 90.00
Positions (direct):
Er1 0.000 0.500 0.000
Er2 0.500 0.000 0.000
Mg1 0.000 0.000 0.500
Zr1 0.500 0.500 0.500

Calculated values
- Space-group type: P4/mmm
- Excess energy over the best structure of this formula in the dataset: 104.3 meV per atom
- ΔH_f (0 K): 0.09 eV/atom
- Calculated total energy: -4.73 eV/atom
- Crystal system: tetragonal
- Magnetic moment: 0.000 μB per atom

***

[20]
DFT (GGA-PBE) results for crystalline CaFe2Ni at its relaxed geometry.

Lattice parameters (Å, degrees): 2.894 4.259 5.427 90.00 101.24 90.00
Positions (direct):
Ca1 0.000 0.000 0.000
Fe1 0.308 0.500 0.672
Fe2 0.692 0.500 0.328
Ni1 0.500 0.000 0.500

Calculated values
- Space-group type: P2/m
- ΔH_f (0 K): 0.40 eV/atom
- Calculated total energy: -5.77 eV/atom
- Crystal system: monoclinic
- Magnetic moment: 1.407 μB per atom

***

[21]
DFT (GGA-PBE) results for crystalline ScAgHg4 at its relaxed geometry.

Lattice parameters (Å, degrees): 9.128 5.285 6.736 90.00 124.09 90.00
Positions (direct):
Sc1 0.000 0.000 0.000
Sc2 0.500 0.500 0.000
Ag1 0.000 0.000 0.500
Ag2 0.500 0.500 0.500
Hg1 0.171 0.500 0.506
Hg2 0.172 0.500 0.006
Hg3 0.328 0.000 0.994
Hg4 0.329 0.000 0.494
Hg5 0.671 0.000 0.506
Hg6 0.672 0.000 0.006
Hg7 0.828 0.500 0.994
Hg8 0.829 0.500 0.494

Calculated values
- Space-group type: C2/m
- Excess energy over the best structure of this formula in the dataset: 0.0 meV per atom
- ΔH_f (0 K): -0.07 eV/atom
- Calculated total energy: -1.80 eV/atom
- Crystal system: monoclinic
- Magnetic moment: 0.000 μB per atom

***

[22]
DFT (GGA-PBE) results for crystalline TbEuTmHg at its relaxed geometry.

Lattice parameters (Å, degrees): 7.687 7.687 7.687 90.00 90.00 90.00
Positions (direct):
Tb1 0.000 0.000 0.000
Tb2 0.000 0.500 0.500
Tb3 0.500 0.000 0.500
Tb4 0.500 0.500 0.000
Eu1 0.250 0.250 0.750
Eu2 0.250 0.750 0.250
Eu3 0.750 0.250 0.250
Eu4 0.750 0.750 0.750
Tm1 0.000 0.000 0.500
Tm2 0.000 0.500 0.000
Tm3 0.500 0.000 0.000
Tm4 0.500 0.500 0.500
Hg1 0.250 0.250 0.250
Hg2 0.250 0.750 0.750
Hg3 0.750 0.250 0.750
Hg4 0.750 0.750 0.250

Calculated values
- Space-group type: F-43m
- ΔH_f (0 K): -0.03 eV/atom
- Calculated total energy: -4.95 eV/atom
- Crystal system: cubic
- Magnetic moment: 1.879 μB per atom

***

[23]
DFT (GGA-PBE) results for crystalline TcAu2 at its relaxed geometry.

Lattice parameters (Å, degrees): 6.672 6.672 4.814 90.00 90.00 90.00
Positions (direct):
Tc1 0.000 0.000 0.250
Tc2 0.000 0.000 0.750
Tc3 0.500 0.500 0.250
Tc4 0.500 0.500 0.750
Au1 0.152 0.348 0.000
Au2 0.152 0.652 0.500
Au3 0.348 0.152 0.500
Au4 0.348 0.848 0.000
Au5 0.652 0.152 0.000
Au6 0.652 0.848 0.500
Au7 0.848 0.348 0.500
Au8 0.848 0.652 0.000

Calculated values
- Space-group type: I4/mcm
- Excess energy over the best structure of this formula in the dataset: 164.9 meV per atom
- ΔH_f (0 K): 0.43 eV/atom
- Calculated total energy: -5.21 eV/atom
- Crystal system: tetragonal
- Magnetic moment: 0.001 μB per atom

***

[24]
DFT (GGA-PBE) results for crystalline Ba6Cd2N at its relaxed geometry.

Lattice parameters (Å, degrees): 8.081 8.483 13.837 90.00 124.83 90.00
Positions (direct):
Ba1 0.150 0.013 0.234
Ba2 0.150 0.487 0.734
Ba3 0.219 0.720 0.041
Ba4 0.219 0.780 0.541
Ba5 0.328 0.183 0.044
Ba6 0.328 0.317 0.544
Ba7 0.672 0.683 0.456
Ba8 0.672 0.817 0.956
Ba9 0.781 0.220 0.459
Ba10 0.781 0.280 0.959
Ba11 0.850 0.513 0.266
Ba12 0.850 0.987 0.766
Cd1 0.273 0.071 0.749
Cd2 0.273 0.429 0.249
Cd3 0.727 0.571 0.751
Cd4 0.727 0.929 0.251
N1 0.000 0.000 0.000
N2 0.000 0.500 0.500

Calculated values
- Space-group type: P2_1/c
- E_form (uncorrected): -0.2628 eV/atom
- Excess energy over the best structure of this formula in the dataset: 0.0 meV per atom
- Calculated total energy: -2.67 eV/atom
- Crystal system: monoclinic
- Magnetic moment: 0.080 μB per atom